# TaAlCrPt2 (GGA-PBE, relaxed)
# Energy relative to the elements, eV/atom: 0.66
data_TaAlCrPt2
_chemical_formula_sum 'Ta1 Al1 Cr1 Pt2'
_cell_length_a 4.4389
_cell_length_b 4.4389
_cell_length_c 4.3468
_cell_angle_alpha 90.00
_cell_angle_beta 90.00
_cell_angle_gamma 90.00
_space_group_name_H-M_alt 'P 4/m m m'
_space_group_IT_number 123
_space_group_name_Hall '-P 4 2'
loop_
_atom_site_label
_atom_site_fract_x
_atom_site_fract_y
_atom_site_fract_z
_atom_site_occupancy
Ta1 0.0000 0.0000 0.0000 1
Al1 0.5000 0.5000 0.5000 1
Cr1 0.5000 0.5000 0.0000 1
Pt1 0.0000 0.5000 0.5000 1